# NaLiIn2Te4, relaxed, DFT GGA-PBE
# Formation energy from raw total energies in eV per atom: -0.33
data_NaLiIn2Te4
_chemical_formula_sum 'Na1 Li1 In2 Te4'
_symmetry_space_group_name_H-M 'P 1'
_symmetry_Int_Tables_number 1
_cell_length_a 7.155
_cell_length_b 7.155
_cell_length_c 7.155
_cell_angle_alpha 113.29
_cell_angle_beta 113.29
_cell_angle_gamma 102.07
loop_
_symmetry_equiv_pos_as_xyz
'x,y,z'
loop_
_atom_site_label
_atom_site_type_symbol
_atom_site_fract_x
_atom_site_fract_y
_atom_site_fract_z
Na1 Na 0.000 0.000 0.000
Li1 Li 0.500 0.500 0.000
In1 In 0.250 0.750 0.500
In2 In 0.750 0.250 0.500
Te1 Te 0.105 0.471 0.000
Te2 Te 0.471 0.105 0.000
Te3 Te 0.529 0.529 0.634
Te4 Te 0.895 0.895 0.366


# CoAu2Br, relaxed, DFT GGA-PBE
# Formation energy from raw total energies in eV per atom: 0.23
# Distance to the lowest polymorph of the same formula in meV per atom: 0.0
data_CoAu2Br
_chemical_formula_sum 'Co1 Au2 Br1'
_symmetry_space_group_name_H-M 'P 1'
_symmetry_Int_Tables_number 1
_cell_length_a 3.613
_cell_length_b 3.255
_cell_length_c 7.013
_cell_angle_alpha 90.00
_cell_angle_beta 90.06
_cell_angle_gamma 90.00
loop_
_symmetry_equiv_pos_as_xyz
'x,y,z'
loop_
_atom_site_label
_atom_site_type_symbol
_atom_site_fract_x
_atom_site_fract_y
_atom_site_fract_z
Co1 Co 0.000 0.000 0.000
Au1 Au 0.499 0.500 0.836
Au2 Au 0.999 0.000 0.623
Br1 Br 0.002 0.500 0.261


# Sm5Dy3Ho2, relaxed, DFT GGA-PBE
# ΔE_f in meV/atom: 387
# Distance to the lowest polymorph of the same formula in meV per atom: 195.0
data_Sm5Dy3Ho2
_chemical_formula_sum 'Sm10 Dy6 Ho4'
_symmetry_space_group_name_H-M 'P 1'
_symmetry_Int_Tables_number 1
_cell_length_a 9.910
_cell_length_b 9.910
_cell_length_c 9.910
_cell_angle_alpha 123.55
_cell_angle_beta 93.19
_cell_angle_gamma 113.07
loop_
_symmetry_equiv_pos_as_xyz
'x,y,z'
loop_
_atom_site_label
_atom_site_type_symbol
_atom_site_fract_x
_atom_site_fract_y
_atom_site_fract_z
Sm1 Sm 0.002 0.750 0.252
Sm2 Sm 0.128 0.102 0.230
Sm3 Sm 0.250 0.250 0.000
Sm4 Sm 0.372 0.602 0.974
Sm5 Sm 0.498 0.750 0.748
Sm6 Sm 0.502 0.250 0.252
Sm7 Sm 0.628 0.398 0.026
Sm8 Sm 0.750 0.750 0.000
Sm9 Sm 0.872 0.898 0.770
Sm10 Sm 0.998 0.250 0.748
Dy1 Dy 0.124 0.752 0.875
Dy2 Dy 0.250 0.750 0.500
Dy3 Dy 0.376 0.252 0.628
Dy4 Dy 0.624 0.748 0.372
Dy5 Dy 0.750 0.250 0.500
Dy6 Dy 0.876 0.248 0.125
Ho1 Ho 0.122 0.413 0.535
Ho2 Ho 0.378 0.913 0.290
Ho3 Ho 0.622 0.087 0.710
Ho4 Ho 0.878 0.587 0.465


# K3Cd2Au3, relaxed, DFT GGA-PBE
# ΔE_f in meV/atom: -280
# Distance to the lowest polymorph of the same formula in meV per atom: 0.0
data_K3Cd2Au3
_chemical_formula_sum 'K6 Cd4 Au6'
_symmetry_space_group_name_H-M 'P 1'
_symmetry_Int_Tables_number 1
_cell_length_a 6.653
_cell_length_b 6.653
_cell_length_c 16.049
_cell_angle_alpha 90.00
_cell_angle_beta 90.00
_cell_angle_gamma 137.52
loop_
_symmetry_equiv_pos_as_xyz
'x,y,z'
loop_
_atom_site_label
_atom_site_type_symbol
_atom_site_fract_x
_atom_site_fract_y
_atom_site_fract_z
K1 K 0.079 0.921 0.615
K2 K 0.079 0.921 0.885
K3 K 0.378 0.622 0.750
K4 K 0.622 0.378 0.250
K5 K 0.921 0.079 0.115
K6 K 0.921 0.079 0.385
Cd1 Cd 0.216 0.784 0.083
Cd2 Cd 0.216 0.784 0.417
Cd3 Cd 0.784 0.216 0.583
Cd4 Cd 0.784 0.216 0.917
Au1 Au 0.310 0.690 0.250
Au2 Au 0.396 0.604 0.536
Au3 Au 0.396 0.604 0.964
Au4 Au 0.604 0.396 0.036
Au5 Au 0.604 0.396 0.464
Au6 Au 0.690 0.310 0.750


Q: Number 4 is which compound?
A: K3Cd2Au3


Please write out number 1 again, unchanged.
# NaLiIn2Te4, relaxed, DFT GGA-PBE
# Formation energy from raw total energies in eV per atom: -0.33
data_NaLiIn2Te4
_chemical_formula_sum 'Na1 Li1 In2 Te4'
_symmetry_space_group_name_H-M 'P 1'
_symmetry_Int_Tables_number 1
_cell_length_a 7.155
_cell_length_b 7.155
_cell_length_c 7.155
_cell_angle_alpha 113.29
_cell_angle_beta 113.29
_cell_angle_gamma 102.07
loop_
_symmetry_equiv_pos_as_xyz
'x,y,z'
loop_
_atom_site_label
_atom_site_type_symbol
_atom_site_fract_x
_atom_site_fract_y
_atom_site_fract_z
Na1 Na 0.000 0.000 0.000
Li1 Li 0.500 0.500 0.000
In1 In 0.250 0.750 0.500
In2 In 0.750 0.250 0.500
Te1 Te 0.105 0.471 0.000
Te2 Te 0.471 0.105 0.000
Te3 Te 0.529 0.529 0.634
Te4 Te 0.895 0.895 0.366


Repeat the first record exactly.
# NaLiIn2Te4, relaxed, DFT GGA-PBE
# Formation energy from raw total energies in eV per atom: -0.33
data_NaLiIn2Te4
_chemical_formula_sum 'Na1 Li1 In2 Te4'
_symmetry_space_group_name_H-M 'P 1'
_symmetry_Int_Tables_number 1
_cell_length_a 7.155
_cell_length_b 7.155
_cell_length_c 7.155
_cell_angle_alpha 113.29
_cell_angle_beta 113.29
_cell_angle_gamma 102.07
loop_
_symmetry_equiv_pos_as_xyz
'x,y,z'
loop_
_atom_site_label
_atom_site_type_symbol
_atom_site_fract_x
_atom_site_fract_y
_atom_site_fract_z
Na1 Na 0.000 0.000 0.000
Li1 Li 0.500 0.500 0.000
In1 In 0.250 0.750 0.500
In2 In 0.750 0.250 0.500
Te1 Te 0.105 0.471 0.000
Te2 Te 0.471 0.105 0.000
Te3 Te 0.529 0.529 0.634
Te4 Te 0.895 0.895 0.366